Record 1
DFT (PBE-GGA) results for CeGa2Ni2Ru after structural relaxation.

## Properties
- SG = No. 123
- size of the total moment (μB per atom) = 0.0318
- formation enthalpy at 0 K (meV/atom) = -85
- ρ (g/cm³) = 7.4

Lattice parameters (Å, degrees): 4.7073 4.7073 5.0744 90.00 90.00 90.00
Positions (direct):
Ce 0.0000 0.0000 0.0000
Ga 0.0000 0.5000 0.5000
Ga 0.5000 0.0000 0.5000
Ni 0.5000 0.5000 0.2505
Ni 0.5000 0.5000 0.7495
Ru 0.0000 0.0000 0.5000



Record 2
DFT (PBE-GGA) results for Ce2GaNi5Ru2 after structural relaxation.

## Properties
- SG = No. 127
- size of the total moment (μB per atom) = 0.0000
- formation enthalpy at 0 K (meV/atom) = -238
- ρ (g/cm³) = 9.1

Lattice parameters (Å, degrees): 8.9675 8.9675 3.8579 90.00 90.00 90.00
Positions (direct):
Ce 0.1752 0.3248 0.0000
Ce 0.3248 0.8248 0.0000
Ce 0.6752 0.1752 0.0000
Ce 0.8248 0.6752 0.0000
Ga 0.0000 0.0000 0.0000
Ga 0.5000 0.5000 0.0000
Ni 0.0000 0.5000 0.5000
Ni 0.0568 0.8085 0.5000
Ni 0.1915 0.0568 0.5000
Ni 0.3085 0.5568 0.5000
Ni 0.4432 0.3085 0.5000
Ni 0.5000 0.0000 0.5000
Ni 0.5568 0.6915 0.5000
Ni 0.6915 0.4432 0.5000
Ni 0.8085 0.9432 0.5000
Ni 0.9432 0.1915 0.5000
Ru 0.1324 0.6324 0.0000
Ru 0.3676 0.1324 0.0000
Ru 0.6324 0.8676 0.0000
Ru 0.8676 0.3676 0.0000



Record 3
DFT (PBE-GGA) results for Ce2GaNi4Sb3 after structural relaxation.

## Properties
- SG = No. 115
- size of the total moment (μB per atom) = 0.0967
- formation energy from raw total energies (meV/atom) = -652
- ρ (g/cm³) = 8.3

Lattice parameters (Å, degrees): 4.3460 4.3460 10.0416 90.00 90.00 90.00
Positions (direct):
Ce 0.0000 0.5000 0.2470
Ce 0.5000 0.0000 0.7530
Ga 0.0000 0.0000 0.5000
Ni 0.0000 0.0000 0.0000
Ni 0.0000 0.5000 0.6219
Ni 0.5000 0.0000 0.3781
Ni 0.5000 0.5000 0.0000
Sb 0.0000 0.5000 0.8684
Sb 0.5000 0.0000 0.1316
Sb 0.5000 0.5000 0.5000



Record 4
DFT (PBE-GGA) results for CeScGa2Ni2 after structural relaxation.

## Properties
- SG = No. 164
- size of the total moment (μB per atom) = 0.0627
- formation enthalpy at 0 K (meV/atom) = -595
- ρ (g/cm³) = 6.9

Lattice parameters (Å, degrees): 4.2839 4.2839 6.6710 90.00 90.00 120.00
Positions (direct):
Ce 0.0000 0.0000 0.0000
Sc 0.0000 0.0000 0.5000
Ga 0.3333 0.6667 0.2893
Ga 0.6667 0.3333 0.7107
Ni 0.3333 0.6667 0.7126
Ni 0.6667 0.3333 0.2874



Record 5
DFT (PBE-GGA) results for CeGa2SiNi4 after structural relaxation.

## Properties
- SG = No. 166
- size of the total moment (μB per atom) = 0.0441
- formation energy from raw total energies (meV/atom) = -470
- ρ (g/cm³) = 7.7

Lattice parameters (Å, degrees): 8.5967 8.5967 8.5967 27.22 27.22 27.22
Positions (direct):
Ce 0.0000 0.0000 0.0000
Ga 0.2440 0.2440 0.2440
Ga 0.7560 0.7560 0.7560
Si 0.5000 0.5000 0.5000
Ni 0.1381 0.1381 0.1381
Ni 0.4076 0.4076 0.4076
Ni 0.5924 0.5924 0.5924
Ni 0.8619 0.8619 0.8619



Record 6
DFT (PBE-GGA) results for Ce2GaSi3Ni4 after structural relaxation.

## Properties
- SG = No. 115
- size of the total moment (μB per atom) = 0.0000
- formation energy from raw total energies (meV/atom) = -765
- ρ (g/cm³) = 7.1

Lattice parameters (Å, degrees): 4.0416 4.0416 9.6136 90.00 90.00 90.00
Positions (direct):
Ce 0.0000 0.5000 0.2449
Ce 0.5000 0.0000 0.7551
Ga 0.0000 0.0000 0.5000
Si 0.0000 0.5000 0.8749
Si 0.5000 0.0000 0.1251
Si 0.5000 0.5000 0.5000
Ni 0.0000 0.0000 0.0000
Ni 0.0000 0.5000 0.6336
Ni 0.5000 0.0000 0.3664
Ni 0.5000 0.5000 0.0000



Record 7
DFT (PBE-GGA) results for CeGaSiNi6 after structural relaxation.

## Properties
- SG = No. 74
- size of the total moment (μB per atom) = 0.0000
- formation energy from raw total energies (meV/atom) = -158
- ρ (g/cm³) = 7.6

Lattice parameters (Å, degrees): 7.2312 7.2312 7.2312 127.31 115.19 88.18
Positions (direct):
Ce 0.4746 0.2246 0.2500
Ce 0.5254 0.7754 0.7500
Ga 0.0000 0.0000 0.5000
Ga 0.0000 0.5000 0.0000
Si 0.0000 0.0000 0.0000
Si 0.5000 0.0000 0.5000
Ni 0.1155 0.4187 0.2991
Ni 0.1155 0.8163 0.6968
Ni 0.1584 0.9084 0.2500
Ni 0.2636 0.5136 0.7500
Ni 0.3804 0.1837 0.7991
Ni 0.3804 0.5813 0.1968
Ni 0.6196 0.4187 0.8032
Ni 0.6196 0.8163 0.2009
Ni 0.7364 0.4864 0.2500
Ni 0.8416 0.0916 0.7500
Ni 0.8845 0.1837 0.3032
Ni 0.8845 0.5813 0.7009



Record 8
DFT (PBE-GGA) results for Ce2GaSi3Ni12 after structural relaxation.

## Properties
- SG = No. 166
- size of the total moment (μB per atom) = 0.0000
- formation energy from raw total energies (meV/atom) = -229
- ρ (g/cm³) = 7.8

Lattice parameters (Å, degrees): 6.2807 6.2807 6.2807 83.29 83.29 83.29
Positions (direct):
Ce 0.1496 0.1496 0.1496
Ce 0.8504 0.8504 0.8504
Ga 0.5000 0.5000 0.5000
Si 0.0000 0.5000 0.5000
Si 0.5000 0.0000 0.5000
Si 0.5000 0.5000 0.0000
Ni 0.1166 0.1166 0.5895
Ni 0.1166 0.5895 0.1166
Ni 0.1982 0.6907 0.6907
Ni 0.3093 0.3093 0.8018
Ni 0.3093 0.8018 0.3093
Ni 0.4105 0.8834 0.8834
Ni 0.5895 0.1166 0.1166
Ni 0.6907 0.1982 0.6907
Ni 0.6907 0.6907 0.1982
Ni 0.8018 0.3093 0.3093
Ni 0.8834 0.4105 0.8834
Ni 0.8834 0.8834 0.4105



> size of the total moment of number 4 (CeScGa2Ni2)?

0.0627 μB per atom